# 1
Material: Na10B17C3
Method: DFT, GGA-PBE
State: optimized geometry

Geometry as POSCAR:
```
Na10B17C3
1.0
8.684 0.000 0.000
0.000 1.411 13.359
0.000 -1.411 13.359
Na B C
10 17 3
direct
0.248 0.000 0.000
0.250 0.600 0.600
0.251 0.202 0.202
0.251 0.401 0.401
0.251 0.802 0.802
0.749 0.202 0.202
0.749 0.401 0.401
0.749 0.802 0.802
0.750 0.600 0.600
0.752 0.000 0.000
0.000 0.067 0.067
0.000 0.130 0.130
0.000 0.274 0.274
0.000 0.336 0.336
0.000 0.463 0.463
0.000 0.528 0.528
0.000 0.670 0.670
0.000 0.733 0.733
0.000 0.875 0.875
0.500 0.065 0.065
0.500 0.128 0.128
0.500 0.275 0.275
0.500 0.343 0.343
0.500 0.523 0.523
0.500 0.671 0.671
0.500 0.735 0.735
0.500 0.934 0.934
0.000 0.934 0.934
0.500 0.465 0.465
0.500 0.873 0.873
```

Calculated values
The calculation puts the density of states at the Fermi level at 6.85 states/eV/cell. As for the density: 2.3 g/cm³. Its spin magnetization is 0.0 μB per formula unit. The energy above the most stable polymorph in this dataset is 5 meV/atom. Its crystal system is orthorhombic.

***

# 2
Material: HfCoTc2C
Method: DFT, GGA-PBE
State: optimized geometry

Geometry as POSCAR:
```
HfCoTc2C
1.0
4.159 0.000 0.000
0.000 4.159 0.000
0.000 0.000 3.800
Hf Co Tc C
1 1 2 1
direct
0.000 0.000 0.000
0.500 0.500 0.000
0.000 0.500 0.500
0.500 0.000 0.500
0.500 0.500 0.500
```

Calculated values
The calculation puts the density of states at the Fermi level at 3.89 states/eV/cell. As for the density: 11.3 g/cm³. Its spin magnetization is 0.0 μB per formula unit. Its crystal system is tetragonal. For the total energy, the calculation gives -48.41 eV per formula unit.

***

# 3
Material: Pu2P2Rh
Method: DFT, GGA-PBE
State: optimized geometry

Geometry as POSCAR:
```
Pu2P2Rh
1.0
8.087 0.000 0.000
0.000 6.970 0.000
-0.001 0.000 7.366
Pu P Rh
8 8 4
direct
0.117 0.250 0.000
0.117 0.250 0.500
0.371 0.750 0.000
0.371 0.750 0.500
0.629 0.250 0.000
0.629 0.250 0.500
0.883 0.750 0.000
0.883 0.750 0.500
0.115 0.583 0.250
0.115 0.917 0.750
0.363 0.080 0.249
0.363 0.420 0.749
0.637 0.580 0.251
0.637 0.920 0.751
0.885 0.083 0.250
0.885 0.417 0.750
0.375 0.079 0.750
0.375 0.421 0.250
0.625 0.579 0.750
0.625 0.921 0.250
```

Calculated values
The calculation puts the density of states at the Fermi level at 75.65 states/eV/cell. As for the density: 10.4 g/cm³. Its spin magnetization is 0.2 μB per formula unit. Its crystal system is monoclinic. For the total energy, the calculation gives -51.25 eV per formula unit.